! PBE LiNdHoSe3, optimized geometry; values from VASP
&SYSTEM
  ibrav = 0, nat = 12, ntyp = 4
/
ATOMIC_SPECIES
Nd 144.24 Nd.upf
Li 6.94 Li.upf
Se 78.96 Se.upf
Ho 164.93 Ho.upf
CELL_PARAMETERS angstrom
-3.8698 -1.0604 -0.1994
1.7200 -7.0772 4.2562
-1.9142 5.7805 6.4090
ATOMIC_POSITIONS crystal
Nd 0.7500 0.8101 0.7736
Nd 0.2500 0.1899 0.2264
Li 0.2500 0.0863 0.5846
Li 0.7500 0.9137 0.4154
Se 0.2500 0.0961 0.8701
Se 0.2500 0.5670 0.8269
Se 0.7500 0.9039 0.1299
Se 0.7500 0.4330 0.1731
Se 0.7500 0.2230 0.5011
Se 0.2500 0.7770 0.4989
Ho 0.2500 0.6663 0.1622
Ho 0.7500 0.3337 0.8378
! Crystal system = monoclinic
! Electronic total energy = -63.4 eV per cell
! Formation energy (no corrections) = -1.67 eV per atom
! V = 292 Å³/cell